Record 1
TcRuW3: optimized geometry, PBE-GGA.

The structure in POSCAR format:
```
TcRuW3
1.0
-1.399 -3.184 3.056
3.499 -2.754 -1.267
2.689 1.927 3.239
Ru Tc W
1 1 3
Direct
0.000 0.000 0.000 Ru
0.500 0.500 0.500 Tc
0.000 0.500 0.000 W
0.000 0.000 0.500 W
0.500 0.000 0.000 W
```

Values from the calculation:
Crystal system ... cubic
Energy of formation ... 2.0923 eV per atom
Spin magnetization ... 1.2 μB/f.u.
Energy ... -0.353 hartree per atom
Energy above the lowest structure with this stoichiometry ... 0 meV/atom
D(E_F) ... 1.088 states/eV per atom

***

Record 2
TcRuW2: optimized geometry, PBE-GGA.

The structure in POSCAR format:
```
TcRuW2
1.0
9.261 0.019 0.011
8.837 2.770 0.011
8.837 1.362 2.412
Ru Tc W
1 1 2
Direct
0.250 0.250 0.250 Ru
0.750 0.750 0.750 Tc
0.999 0.999 0.999 W
0.501 0.501 0.501 W
```

Values from the calculation:
Crystal system ... trigonal
Energy of formation ... 0.2139 eV per atom
Spin magnetization ... 0.0 μB/f.u.
Energy ... -0.411 hartree per atom
Energy above the lowest structure with this stoichiometry ... 92 meV/atom
D(E_F) ... 1.390 states/eV per atom

***

Record 3
TcRuW2: optimized geometry, PBE-GGA.

The structure in POSCAR format:
```
TcRuW2
1.0
5.150 0.003 0.004
2.232 4.641 -0.004
-3.183 -3.129 2.569
Ru Tc W
1 1 2
Direct
0.750 0.250 0.500 Ru
0.250 0.750 0.500 Tc
0.007 0.007 0.000 W
0.493 0.493 0.000 W
```

Values from the calculation:
Crystal system ... orthorhombic
Energy of formation ... 0.1788 eV per atom
Spin magnetization ... 0.0 μB/f.u.
Energy ... -0.412 hartree per atom
Energy above the lowest structure with this stoichiometry ... 57 meV/atom
D(E_F) ... 1.067 states/eV per atom

***

Record 4
TcRu2W: optimized geometry, PBE-GGA.

The structure in POSCAR format:
```
TcRu2W
1.0
-0.203 1.439 -2.348
0.711 -3.187 -2.015
-5.442 -1.089 -0.196
Tc Ru W
1 2 1
Direct
0.560 0.471 0.863 Tc
0.061 0.971 0.089 Ru
0.561 0.471 0.347 Ru
0.061 0.971 0.591 W
```

Values from the calculation:
Crystal system ... orthorhombic
Energy of formation ... 0.0819 eV per atom
Spin magnetization ... 0.0 μB/f.u.
Energy ... -0.382 hartree per atom
Energy above the lowest structure with this stoichiometry ... 67 meV/atom
D(E_F) ... 1.095 states/eV per atom

***

Record 5
Tc2RuW: optimized geometry, PBE-GGA.

The structure in POSCAR format:
```
Tc2RuW
1.0
2.763 0.012 0.000
-0.011 2.763 0.000
0.000 0.000 7.790
Ru Tc W
1 2 1
Direct
0.500 0.500 0.754 Ru
0.000 0.000 0.000 Tc
0.500 0.500 0.242 Tc
0.000 0.000 0.504 W
```

Values from the calculation:
Crystal system ... tetragonal
Energy of formation ... 0.0976 eV per atom
Spin magnetization ... 0.0 μB/f.u.
Energy ... -0.391 hartree per atom
Energy above the lowest structure with this stoichiometry ... 40 meV/atom
D(E_F) ... 1.332 states/eV per atom

***

Record 6
Tc2RuW: optimized geometry, PBE-GGA.

The structure in POSCAR format:
```
Tc2RuW
1.0
-0.169 -3.911 -0.042
1.992 -0.122 3.341
-3.339 0.123 1.995
Ru Tc W
1 2 1
Direct
0.500 0.000 0.500 Ru
0.000 0.000 0.000 Tc
0.000 0.500 0.500 Tc
0.500 0.500 0.000 W
```

Values from the calculation:
Crystal system ... tetragonal
Energy of formation ... 0.0573 eV per atom
Spin magnetization ... 0.0 μB/f.u.
Energy ... -0.393 hartree per atom
Energy above the lowest structure with this stoichiometry ... 0 meV/atom
D(E_F) ... 1.153 states/eV per atom